Entry from the Alexandria database: a relaxed structure of Rb2DyMnF6 (GGA+U).

The structure in CIF format:
```
data_Rb2DyMnF6
_cell_length_a 6.515
_cell_length_b 6.516
_cell_length_c 6.517
_cell_angle_alpha 59.99
_cell_angle_beta 59.99
_cell_angle_gamma 90.00
_symmetry_space_group_name_H-M 'P 1'
_symmetry_Int_Tables_number 1
loop_
_symmetry_equiv_pos_as_xyz
'x,y,z'
loop_
_atom_site_label
_atom_site_fract_x
_atom_site_fract_y
_atom_site_fract_z
Rb1 0.750 0.250 0.500
Rb2 0.250 0.750 0.500
Dy1 0.000 0.000 0.000
Mn1 0.500 0.500 0.000
F1 0.239 0.239 0.523
F2 0.762 0.761 0.000
F3 0.239 0.762 0.000
F4 0.761 0.238 0.000
F5 0.238 0.239 0.000
F6 0.761 0.761 0.477
```

E_tot in eV/atom: -5.4835
Total magnetic moment in μB per formula unit: 5.81